VASP calculation (PBE) on a relaxed Rb2HAu crystal.

Lattice parameters (Å, degrees): 8.429 8.429 8.429 30.70 30.70 30.70
Positions (direct):
Rb 0.000 0.000 0.000
Rb 0.193 0.193 0.193
H 0.596 0.596 0.596
Au 0.763 0.763 0.763

Output
size of the total moment = 0.0 μB per cell
Fermi-level density of states = 0.000 states/eV/cell
space group = No. 160
energy above the lowest structure with this stoichiometry = 28.7 meV/atom



VASP calculation (PBE) on a relaxed Rb12H2Au5 crystal.

Lattice parameters (Å, degrees): 10.617 10.617 10.804 104.61 104.61 49.98
Positions (direct):
Rb 0.003 0.003 0.205
Rb 0.073 0.591 0.909
Rb 0.102 0.601 0.431
Rb 0.399 0.898 0.569
Rb 0.409 0.927 0.091
Rb 0.492 0.492 0.185
Rb 0.508 0.508 0.815
Rb 0.591 0.073 0.909
Rb 0.601 0.102 0.431
Rb 0.898 0.399 0.569
Rb 0.927 0.409 0.091
Rb 0.997 0.997 0.795
H 0.245 0.755 0.000
H 0.755 0.245 0.000
Au 0.185 0.185 0.844
Au 0.197 0.197 0.351
Au 0.500 0.500 0.500
Au 0.803 0.803 0.649
Au 0.815 0.815 0.156

Output
size of the total moment = 1.6 μB per cell
final energy = -1.967 eV per atom
Fermi-level density of states = 15.933 states/eV/cell
space group = No. 12



Copy entry 2 word for word.
VASP calculation (PBE) on a relaxed Rb12H2Au5 crystal.

Lattice parameters (Å, degrees): 10.617 10.617 10.804 104.61 104.61 49.98
Positions (direct):
Rb 0.003 0.003 0.205
Rb 0.073 0.591 0.909
Rb 0.102 0.601 0.431
Rb 0.399 0.898 0.569
Rb 0.409 0.927 0.091
Rb 0.492 0.492 0.185
Rb 0.508 0.508 0.815
Rb 0.591 0.073 0.909
Rb 0.601 0.102 0.431
Rb 0.898 0.399 0.569
Rb 0.927 0.409 0.091
Rb 0.997 0.997 0.795
H 0.245 0.755 0.000
H 0.755 0.245 0.000
Au 0.185 0.185 0.844
Au 0.197 0.197 0.351
Au 0.500 0.500 0.500
Au 0.803 0.803 0.649
Au 0.815 0.815 0.156

Output
size of the total moment = 1.6 μB per cell
final energy = -1.967 eV per atom
Fermi-level density of states = 15.933 states/eV/cell
space group = No. 12



What is the formula in the second record?
Rb12H2Au5